(1)
Entry from the Alexandria database: a relaxed structure of In5GaPb6 (PBE-GGA).

```
data_In5GaPb6
_cell_length_a 10.547
_cell_length_b 15.058
_cell_length_c 4.907
_cell_angle_alpha 90.00
_cell_angle_beta 116.81
_cell_angle_gamma 90.00
_space_group_name_H-M_alt 'C 1 2/m 1'
_space_group_IT_number 12
loop_
_space_group_symop_operation_xyz
'x,y,z'
'-x,-y,-z'
'-x,y,-z'
'x,-y,z'
'x+1/2,y+1/2,z'
'-x+1/2,-y+1/2,-z'
'-x+1/2,y+1/2,-z'
'x+1/2,-y+1/2,z'
loop_
_atom_site_label
_atom_site_type_symbol
_atom_site_fract_x
_atom_site_fract_y
_atom_site_fract_z
In1 In 0.000 0.000 0.000
In2 In 0.000 0.157 0.500
In3 In 0.000 0.325 0.000
Ga1 Ga 0.000 0.500 0.500
Pb1 Pb 0.228 0.500 0.227
Pb2 Pb 0.241 0.335 0.739
```

Summary:
* ΔH_f (0 K): 34 meV/atom
* crystal system: monoclinic
* D(E_F): 0.5422 states/eV per atom



(2)
Entry from the Alexandria database: a relaxed structure of LiFeRe2Sb (PBE-GGA).

```
data_LiFeRe2Sb
_cell_length_a 4.461
_cell_length_b 4.461
_cell_length_c 4.274
_cell_angle_alpha 90.00
_cell_angle_beta 90.00
_cell_angle_gamma 90.00
_space_group_name_H-M_alt 'P 4/m m m'
_space_group_IT_number 123
_space_group_name_Hall '-P 4 2'
loop_
_atom_site_label
_atom_site_type_symbol
_atom_site_fract_x
_atom_site_fract_y
_atom_site_fract_z
Li1 Li 0.000 0.000 0.000
Fe1 Fe 0.000 0.000 0.500
Re1 Re 0.000 0.500 0.500
Sb1 Sb 0.500 0.500 0.000
```

Summary:
* crystal system: tetragonal
* formation energy (no corrections): 1.054 eV/atom
* D(E_F): 0.9757 states/eV per atom



(3)
Entry from the Alexandria database: a relaxed structure of Y5Cd2Ru2 (PBE-GGA).

```
data_Y5Cd2Ru2
_cell_length_a 16.489
_cell_length_b 7.386
_cell_length_c 7.578
_cell_angle_alpha 90.00
_cell_angle_beta 90.00
_cell_angle_gamma 90.00
_space_group_name_H-M_alt 'C m c e'
_space_group_IT_number 64
_space_group_name_Hall '-C 2ac 2'
loop_
_atom_site_label
_atom_site_type_symbol
_atom_site_fract_x
_atom_site_fract_y
_atom_site_fract_z
Y1 Y 0.000 0.000 0.000
Y2 Y 0.121 0.180 0.319
Cd1 Cd 0.223 0.000 0.000
Ru1 Ru 0.000 0.117 0.623
```

Summary:
* ΔH_f (0 K): -319 meV/atom
* crystal system: orthorhombic
* D(E_F): 0.7387 states/eV per atom



(4)
Entry from the Alexandria database: a relaxed structure of NdDy2Al9 (PBE-GGA).

```
data_NdDy2Al9
_cell_length_a 5.6044
_cell_length_b 5.6044
_cell_length_c 26.3079
_cell_angle_alpha 90.00
_cell_angle_beta 90.00
_cell_angle_gamma 120.00
_space_group_name_H-M_alt 'R -3 m'
_space_group_IT_number 166
_space_group_name_Hall '-R 3 2"'
loop_
_atom_site_label
_atom_site_type_symbol
_atom_site_fract_x
_atom_site_fract_y
_atom_site_fract_z
Nd1 Nd 0.0000 0.0000 0.0000
Dy1 Dy 0.0000 0.0000 0.1419
Al1 Al 0.0000 0.0000 0.3356
Al2 Al 0.0000 0.0000 0.5000
Al3 Al 0.0076 0.5038 0.9162
```

Summary:
* ΔH_f (0 K): -389 meV/atom
* crystal system: trigonal
* D(E_F): 0.3941 states/eV per atom



no.,calculated volume (Å³ per atom)
1,28.98
2,17.01
3,25.63
4,19.88